[1]
HoCdRh2 | GGA-PBEsol | optimized geometry

Cell and atoms, written as POSCAR:
```
HoCdRh2
1.0
-1.416 0.137 -4.367
0.729 -3.595 -2.764
-3.529 -2.610 -1.352
Rh Ho Cd
2 1 1
direct
0.750 0.750 0.750
0.250 0.250 0.250
0.500 0.500 0.500
0.000 0.000 0.000
```

Calculated values
- Symmetry: Fm-3m (225)
- DFT formation energy: -0.56 eV/atom
- Calculated volume: 17.12 A^3/atom
- Magnetic moment: 0.00 μB per cell

[2]
MgSc3Ru2 | GGA-PBEsol | optimized geometry

Cell and atoms, written as POSCAR:
```
MgSc3Ru2
1.0
-2.901 -0.696 1.170
1.242 -2.482 1.603
1.875 6.403 8.459
Sc Ru Mg
3 2 1
direct
0.000 0.000 0.000
0.000 0.000 0.715
0.000 0.000 0.285
0.500 0.500 0.848
0.500 0.500 0.152
0.500 0.500 0.500
```

Calculated values
- Symmetry: P4/mmm (123)
- DFT formation energy: -0.43 eV/atom
- Calculated volume: 18.44 A^3/atom
- Magnetic moment: 0.00 μB per cell

[3]
TcSe2I | GGA-PBEsol | optimized geometry

Cell and atoms, written as POSCAR:
```
TcSe2I
1.0
-3.621 0.043 0.655
-2.243 -2.198 -1.918
-0.992 -6.689 5.294
I Tc Se
1 1 2
direct
0.000 0.000 0.000
0.500 0.500 0.500
0.887 0.887 0.338
0.113 0.113 0.662
```

Calculated values
- Symmetry: R-3m (166)
- Calculated volume: 24.40 A^3/atom
- E_form (uncorrected): -0.1 eV/f.u.
- Magnetic moment: 1.28 μB per cell

[4]
NaEuO2 | GGA-PBEsol | optimized geometry

Cell and atoms, written as POSCAR:
```
NaEuO2
1.0
-3.825 2.673 -0.110
-1.409 -2.176 -3.882
0.070 -3.774 4.897
Eu Na O
2 2 4
direct
0.000 0.000 0.000
0.250 0.750 0.500
0.500 0.500 0.000
0.750 0.250 0.500
0.221 0.221 0.443
0.029 0.529 0.057
0.471 0.971 0.943
0.779 0.779 0.557
```

Calculated values
- Symmetry: I4_1/amd (141)
- Calculated volume: 14.24 A^3/atom
- E_form (uncorrected): -9.5 eV/f.u.
- Magnetic moment: 12.00 μB per cell

[5]
TlGe3Pd | GGA-PBEsol | optimized geometry

Cell and atoms, written as POSCAR:
```
TlGe3Pd
1.0
-0.647 -4.691 2.018
-0.789 -1.918 -4.711
5.045 -0.902 -0.478
Tl Ge Pd
1 3 1
direct
0.000 0.000 0.000
0.000 0.500 0.000
0.000 0.000 0.500
0.500 0.000 0.000
0.500 0.500 0.500
```

Calculated values
- Symmetry: Pm-3m (221)
- DFT formation energy: 1.32 eV/atom
- Calculated volume: 27.28 A^3/atom
- Magnetic moment: 0.00 μB per cell

[6]
Sb2Te2Se | GGA-PBEsol | optimized geometry

Cell and atoms, written as POSCAR:
```
Sb2Te2Se
1.0
-0.723 -0.111 -4.120
0.405 -3.597 -2.099
-9.531 -3.294 -0.365
Sb Te Se
2 2 1
direct
0.107 0.107 0.680
0.893 0.893 0.320
0.286 0.286 0.142
0.714 0.714 0.858
0.500 0.500 0.500
```

Calculated values
- Symmetry: R-3m (166)
- Calculated volume: 29.71 A^3/atom
- Distance to the lowest polymorph of the same formula: 0 meV/atom
- E_form (uncorrected): -0.9 eV/f.u.
- Magnetic moment: 0.00 μB per cell